(1)
A plane-wave DFT calculation with SCAN was carried out for RbBaPdPt2 at its PBEsol-relaxed geometry.

Summary:
The formation energy is 6.6 eV/f.u. As for the space-group type: P4/mmm, No. 123.

abc: 5.3507 5.3507 6.1628
angles: 90.00 90.00 90.00
Positions (direct):
1 Ba 0.0000 0.0000 0.0000
2 Pt 0.5000 0.0000 0.0000
3 Rb 0.0000 0.0000 0.5000
4 Pt 0.0000 0.5000 0.0000
5 Pd 0.5000 0.5000 0.5000

=====

(2)
A plane-wave DFT calculation with SCAN was carried out for NaMg2Ti at its PBEsol-relaxed geometry.

Summary:
The formation energy is 1.9 eV/f.u. As for the space-group type: Fm-3m, No. 225.

abc: 4.9875 4.9875 4.9875
angles: 60.00 60.00 60.00
Positions (direct):
1 Mg 0.7500 0.7500 0.7500
2 Ti 0.5000 0.5000 0.5000
3 Na 0.0000 0.0000 0.0000
4 Mg 0.2500 0.2500 0.2500

=====

(3)
A plane-wave DFT calculation with SCAN was carried out for CaTl2Au at its PBEsol-relaxed geometry.

Summary:
The formation energy is -1.6 eV/f.u. As for the space-group type: I-4m2, No. 119.

abc: 4.7362 5.4095 4.7362
angles: 64.04 90.00 115.96
Positions (direct):
1 Tl 0.0000 0.0000 0.0000
2 Tl 0.2500 0.5000 0.2500
3 Ca 0.7500 0.5000 0.7500
4 Au 0.5000 0.0000 0.5000